Here is crystalline Sm3Cd4In2 at its relaxed geometry from the Alexandria database. Energies are from PBE-GGA.

The space group is C2/m (No. 12) and the conventional cell measures 11.2355, 4.9797 and 9.4088 Å, with angles of 90.00, 117.60 and 90.00 degrees. The asymmetric unit holds Sm at (0.0000, 0.0000, 0.0000), Sm at (0.1658, 0.5000, 0.6704), Cd at (0.0744, 0.0000, 0.4099), Cd at (0.2064, 0.5000, 0.0363) and In at (0.1098, 0.5000, 0.2749).

The value obtained for the volume is 25.9 A^3/atom. Its crystal system is monoclinic. The formation energy is -39.4 kJ/mol of atoms. The value obtained for the density is 8.05 g/cm³.

***

Here is crystalline SmAs2P2Pd7 at its relaxed geometry from the Alexandria database. Energies are from PBE-GGA.

The space group is C2/m (No. 12) and the conventional cell measures 6.2395, 7.0172 and 10.3980 Å, with angles of 90.00, 102.07 and 90.00 degrees. The asymmetric unit holds Sm at (0.0000, 0.0000, 0.0000), As at (0.1289, 0.0000, 0.3310), P at (0.0059, 0.5000, 0.2356), Pd at (0.0000, 0.5000, 0.0000), Pd at (0.1974, 0.2124, 0.8024) and Pd at (0.2145, 0.0000, 0.5719).

The value obtained for the volume is 18.5 A^3/atom. Its crystal system is monoclinic. The formation energy is -41.1 kJ/mol of atoms. The value obtained for the density is 8.26 g/cm³.

***

Here is crystalline TbLuThTi at its relaxed geometry from the Alexandria database. Energies are from PBE-GGA.

The space group is F-43m (No. 216) and the conventional cell measures 7.6087, 7.6087 and 7.6087 Å, with angles of 90.00, 90.00 and 90.00 degrees. The asymmetric unit holds Tb at (0.0000, 0.0000, 0.0000), Lu at (0.2500, 0.2500, 0.2500), Th at (0.0000, 0.0000, 0.5000) and Ti at (0.2500, 0.2500, 0.7500).

The value obtained for the volume is 27.5 A^3/atom. Its crystal system is cubic. The formation energy is 20.0 kJ/mol of atoms. The value obtained for the density is 9.26 g/cm³.

***

Here is crystalline ZnCSe2 at its relaxed geometry from the Alexandria database. Energies are from PBE-GGA.

The space group is Fm-3m (No. 225) and the conventional cell measures 6.3563, 6.3563 and 6.3563 Å, with angles of 90.00, 90.00 and 90.00 degrees. The asymmetric unit holds Zn at (0.0000, 0.0000, 0.0000), C at (0.0000, 0.0000, 0.5000) and Se at (0.2500, 0.2500, 0.2500).

The value obtained for the volume is 16.1 A^3/atom. Its crystal system is cubic. The value obtained for the excess energy over the best structure of this formula in the dataset is 76.0 kJ per mole of atoms. The calculation puts the energy relative to the elements, uncorrected at 1487 meV/atom. The value obtained for the density is 6.09 g/cm³.

***

Here is crystalline Ti2WC at its relaxed geometry from the Alexandria database. Energies are from PBE-GGA.

The space group is R-3m (No. 166, hexagonal axes) and the conventional cell measures 2.9473, 2.9473 and 22.8811 Å, with angles of 90.00, 90.00 and 120.00 degrees. The asymmetric unit holds Ti at (0.0000, 0.0000, 0.1141), W at (0.0000, 0.0000, 0.0000) and C at (0.0000, 0.0000, 0.5000).

The value obtained for the volume is 14.3 A^3/atom. Its crystal system is trigonal. The formation energy is -10.1 kJ/mol of atoms. The value obtained for the density is 8.44 g/cm³.

***

Here is crystalline LaTaPt2 at its relaxed geometry from the Alexandria database. Energies are from PBE-GGA.

The space group is R3m (No. 160, hexagonal axes) and the conventional cell measures 3.0041, 3.0041 and 30.2092 Å, with angles of 90.00, 90.00 and 120.00 degrees. The asymmetric unit holds La at (0.0000, 0.0000, 0.0000), Ta at (0.0000, 0.0000, 0.2335), Pt at (0.0000, 0.0000, 0.4969) and Pt at (0.0000, 0.0000, 0.7530).

The value obtained for the volume is 19.7 A^3/atom. Its crystal system is trigonal. The value obtained for the excess energy over the best structure of this formula in the dataset is 77.2 kJ per mole of atoms. The formation energy is 2.4 kJ/mol of atoms. The value obtained for the density is 14.98 g/cm³.

***

Here is crystalline Ba3Ca4Ag4 at its relaxed geometry from the Alexandria database. Energies are from PBE-GGA.

The space group is Immm (No. 71) and the conventional cell measures 4.5305, 9.7749 and 17.8884 Å, with angles of 90.00, 90.00 and 90.00 degrees. The asymmetric unit holds Ba at (0.0000, 0.0000, 0.0000), Ba at (0.0000, 0.5000, 0.1084), Ca at (0.0000, 0.3112, 0.3265), Ag at (0.0000, 0.0000, 0.2395) and Ag at (0.0000, 0.2097, 0.5000).

The value obtained for the volume is 36.0 A^3/atom. Its crystal system is orthorhombic. The formation energy is -20.4 kJ/mol of atoms. The value obtained for the density is 4.21 g/cm³.

***

Here is crystalline GaCuGe3 at its relaxed geometry from the Alexandria database. Energies are from PBE-GGA.

The space group is Pm-3m (No. 221) and the conventional cell measures 4.7371, 4.7371 and 4.7371 Å, with angles of 90.00, 90.00 and 90.00 degrees. The asymmetric unit holds Ga at (0.0000, 0.0000, 0.0000), Cu at (0.5000, 0.5000, 0.5000) and Ge at (0.0000, 0.5000, 0.5000).

The value obtained for the volume is 21.3 A^3/atom. Its crystal system is cubic. The value obtained for the excess energy over the best structure of this formula in the dataset is 0.0 kJ per mole of atoms. The formation energy is 44.4 kJ/mol of atoms. The value obtained for the density is 5.49 g/cm³.